Below is a geometry-optimized SmZrAg2 structure, with properties calculated at the GGA-PBE level.

The space group is P4/mmm (No. 123) and the conventional cell measures 3.555, 3.555 and 7.251 Å, with angles of 90.00, 90.00 and 90.00 degrees. The asymmetric unit holds Sm at (0.000, 0.000, 0.000), Zr at (0.000, 0.000, 0.500) and Ag at (0.500, 0.500, 0.278).

As for the total moment: 1.09 μB/cell. As for the energy of formation from the pure elements: -0.4 eV/f.u. The value obtained for the electronic total energy is -4.83 eV per atom. The value obtained for the calculated density is 8.3 g cm⁻³.

Below is a geometry-optimized Sm2ZrAg structure, with properties calculated at the GGA-PBE level.

The space group is P4/mmm (No. 123) and the conventional cell measures 3.495, 3.495 and 8.753 Å, with angles of 90.00, 90.00 and 90.00 degrees. The asymmetric unit holds Sm at (0.000, 0.000, 0.237), Zr at (0.500, 0.500, 0.500) and Ag at (0.500, 0.500, 0.000).

As for the total moment: 0.00 μB/cell. As for the energy of formation from the pure elements: -0.3 eV/f.u. The value obtained for the electronic total energy is -5.28 eV per atom. As for the energy above the most stable polymorph in this dataset: 0 meV/atom. The value obtained for the calculated density is 7.8 g cm⁻³.

Below is a geometry-optimized SmZrAg structure, with properties calculated at the GGA-PBE level.

The space group is P3m1 (No. 156) and the conventional cell measures 4.9953, 4.9953 and 3.4623 Å, with angles of 90.00, 90.00 and 120.00 degrees. The asymmetric unit holds Sm at (0.0000, 0.0000, 0.0000), Zr at (0.3333, 0.6667, 0.5336) and Ag at (0.6667, 0.3333, 0.4254).

As for the total moment: 0.00 μB/cell. As for the energy of formation from the pure elements: 0.5 eV/f.u. The value obtained for the electronic total energy is -5.21 eV per atom. As for the energy above the most stable polymorph in this dataset: 264 meV/atom. The value obtained for the calculated density is 7.8 g cm⁻³.

Below is a geometry-optimized Sm2ZrAg structure, with properties calculated at the GGA-PBE level.

The space group is R-3m (No. 166, hexagonal axes) and the conventional cell measures 3.2685, 3.2685 and 34.7385 Å, with angles of 90.00, 90.00 and 120.00 degrees. The asymmetric unit holds Sm at (0.0000, 0.0000, 0.0919), Zr at (0.0000, 0.0000, 0.0000) and Ag at (0.0000, 0.0000, 0.5000).

As for the total moment: 0.00 μB/cell. As for the energy of formation from the pure elements: 1.2 eV/f.u. The value obtained for the electronic total energy is -4.91 eV per atom. As for the energy above the most stable polymorph in this dataset: 369 meV/atom. The value obtained for the calculated density is 7.7 g cm⁻³.

Below is a geometry-optimized SmZrAg structure, with properties calculated at the GGA-PBE level.

The space group is I4mm (No. 107) and the conventional cell measures 3.426, 3.426 and 12.584 Å, with angles of 90.00, 90.00 and 90.00 degrees. The asymmetric unit holds Sm at (0.000, 0.000, 0.000), Zr at (0.000, 0.000, 0.317) and Ag at (0.000, 0.000, 0.678).

As for the total moment: 0.00 μB/cell. As for the energy of formation from the pure elements: -0.1 eV/f.u. The value obtained for the electronic total energy is -5.42 eV per atom. As for the energy above the most stable polymorph in this dataset: 53 meV/atom. The value obtained for the calculated density is 7.9 g cm⁻³.

Below is a geometry-optimized SmZrAg structure, with properties calculated at the GGA-PBE level.

The space group is Cmcm (No. 63) and the conventional cell measures 3.445, 16.305 and 5.278 Å, with angles of 90.00, 90.00 and 90.00 degrees. The asymmetric unit holds Sm at (0.000, 0.090, 0.250), Zr at (0.000, 0.231, 0.750) and Ag at (0.000, 0.418, 0.250).

As for the total moment: 0.00 μB/cell. As for the energy of formation from the pure elements: -0.3 eV/f.u. The value obtained for the electronic total energy is -5.47 eV per atom. As for the energy above the most stable polymorph in this dataset: 0 meV/atom. The value obtained for the calculated density is 7.8 g cm⁻³.

Below is a geometry-optimized AgSn5 structure, with properties calculated at the GGA-PBE level.

The space group is Cmmm (No. 65) and the conventional cell measures 4.749, 14.923 and 4.403 Å, with angles of 90.00, 90.00 and 90.00 degrees. The asymmetric unit holds Ag at (0.000, 0.000, 0.000), Sn at (0.000, 0.155, 0.500), Sn at (0.000, 0.335, 0.000) and Sn at (0.000, 0.500, 0.500).

As for the total moment: 0.00 μB/cell. As for the energy of formation from the pure elements: 0.5 eV/f.u. The value obtained for the electronic total energy is -3.73 eV per atom. As for the energy above the most stable polymorph in this dataset: 0 meV/atom. The value obtained for the calculated density is 7.5 g cm⁻³.

Below is a geometry-optimized AgSn2 structure, with properties calculated at the GGA-PBE level.

The space group is P4_2/mnm (No. 136) and the conventional cell measures 6.349, 6.349 and 4.345 Å, with angles of 90.00, 90.00 and 90.00 degrees. The asymmetric unit holds Ag at (0.000, 0.000, 0.000) and Sn at (0.198, 0.198, 0.500).

As for the total moment: 0.00 μB/cell. As for the energy of formation from the pure elements: 0.8 eV/f.u. The value obtained for the electronic total energy is -3.35 eV per atom. The value obtained for the calculated density is 6.5 g cm⁻³.